Density functional theory data (PBE) for HgAsSe3 after structural relaxation.

Unit cell a=5.080 b=5.080 c=5.080 alpha=90.00 beta=90.00 gamma=90.00
Space group Pm-3m (No. 221)
Symmetry-distinct sites (fractional):
Hg 0.000 0.000 0.000 x1
As 0.500 0.500 0.500 x1
Se 0.000 0.500 0.500 x3

Its formation energy (no corrections) is 0.410 eV per atom.



Density functional theory data (PBE) for HgAs2Se after structural relaxation.

Unit cell a=3.901 b=3.901 c=6.328 alpha=90.00 beta=90.00 gamma=90.00
Space group P4mm (No. 99)
Symmetry-distinct sites (fractional):
Hg 0.000 0.000 0.000 x1
As 0.000 0.000 0.581 x1
As 0.500 0.500 0.539 x1
Se 0.500 0.500 0.158 x1

Its formation energy (no corrections) is 0.033 eV per atom.



Density functional theory data (PBE) for HgAsSe after structural relaxation.

Unit cell a=6.756 b=6.756 c=6.756 alpha=90.00 beta=90.00 gamma=90.00
Space group F-43m (No. 216)
Symmetry-distinct sites (fractional):
Hg 0.000 0.000 0.000 x4
As 0.250 0.250 0.250 x4
Se 0.000 0.000 0.500 x4

Its formation energy (no corrections) is 0.354 eV per atom.



Density functional theory data (PBE) for HgAs2Se after structural relaxation.

Unit cell a=11.806 b=3.916 c=4.332 alpha=90.00 beta=109.16 gamma=90.00
Space group C2/m (No. 12)
Symmetry-distinct sites (fractional):
Hg 0.000 0.000 0.000 x2
As 0.245 0.500 0.682 x4
Se 0.000 0.500 0.500 x2

Its formation energy (no corrections) is 0.046 eV per atom.



Number 1: spin magnetization 0.0 Bohr magnetons per cell. Number 2: spin magnetization 0.0 Bohr magnetons per cell. Number 3: spin magnetization 0.0 Bohr magnetons per cell. Number 4: spin magnetization 0.0 Bohr magnetons per cell.